Pu4CoGe8: relaxed, PBE.

Lattice parameters (Å, degrees): 4.800 5.080 10.423 90.00 90.00 90.00
Space group Pmm2 (No. 25)
Symmetry-distinct sites (fractional):
Pu (0.000, 0.000, 0.000) (multiplicity 1)
Pu (0.000, 0.500, 0.109) (multiplicity 1)
Pu (0.500, 0.000, 0.491) (multiplicity 1)
Pu (0.500, 0.500, 0.002) (multiplicity 1)
Co (0.500, 0.500, 0.504) (multiplicity 1)
Ge (0.000, 0.000, 0.292) (multiplicity 1)
Ge (0.000, 0.000, 0.691) (multiplicity 1)
Ge (0.000, 0.500, 0.531) (multiplicity 1)
Ge (0.000, 0.500, 0.830) (multiplicity 1)
Ge (0.500, 0.000, 0.179) (multiplicity 1)
Ge (0.500, 0.000, 0.806) (multiplicity 1)
Ge (0.500, 0.500, 0.283) (multiplicity 1)
Ge (0.500, 0.500, 0.722) (multiplicity 1)

Properties
As for the density of states at the Fermi level: 1.706 states/eV/atom. Its formation energy is -3.1 kcal/mol of atoms. Its theoretical density is 10.6 g cm⁻³.

=====

Pu3Co6Ge2: relaxed, PBE.

Lattice parameters (Å, degrees): 8.675 8.675 8.675 90.00 90.00 90.00
Space group Im-3m (No. 229)
Symmetry-distinct sites (fractional):
Pu (0.000, 0.000, 0.266) (multiplicity 12)
Co (0.000, 0.353, 0.353) (multiplicity 24)
Ge (0.250, 0.250, 0.250) (multiplicity 8)

Properties
As for the density of states at the Fermi level: 2.118 states/eV/atom. Its formation energy is -6.9 kcal/mol of atoms. Its theoretical density is 12.5 g cm⁻³.

=====

Pu3Co2Ge2: relaxed, PBE.

Lattice parameters (Å, degrees): 5.429 7.852 12.542 90.00 90.00 90.00
Space group Pbcm (No. 57)
Symmetry-distinct sites (fractional):
Pu (0.146, 0.249, 0.250) (multiplicity 4)
Pu (0.343, 0.606, 0.096) (multiplicity 8)
Co (0.109, 0.537, 0.591) (multiplicity 8)
Ge (0.164, 0.250, 0.000) (multiplicity 4)
Ge (0.352, 0.600, 0.750) (multiplicity 4)

Properties
As for the density of states at the Fermi level: 3.452 states/eV/atom. Its formation energy is -8.5 kcal/mol of atoms. Its theoretical density is 12.4 g cm⁻³.

=====

Pu5CoGe2: relaxed, PBE.

Lattice parameters (Å, degrees): 6.885 11.426 4.510 90.00 90.00 90.00
Space group Pbam (No. 55)
Symmetry-distinct sites (fractional):
Pu (0.000, 0.000, 0.000) (multiplicity 2)
Pu (0.129, 0.283, 0.000) (multiplicity 4)
Pu (0.192, 0.568, 0.500) (multiplicity 4)
Co (0.000, 0.500, 0.000) (multiplicity 2)
Ge (0.097, 0.833, 0.500) (multiplicity 4)

Properties
As for the density of states at the Fermi level: 4.150 states/eV/atom. Its formation energy is -5.1 kcal/mol of atoms. Its theoretical density is 13.3 g cm⁻³.

=====

PuCoGe2: relaxed, PBE.

Lattice parameters (Å, degrees): 2.9363 2.9363 28.6370 90.00 90.00 120.00
Space group R-3m (No. 166, hexagonal axes)
Symmetry-distinct sites (fractional):
Pu (0.0000, 0.0000, 0.0000) (multiplicity 3)
Co (0.0000, 0.0000, 0.5000) (multiplicity 3)
Ge (0.0000, 0.0000, 0.1041) (multiplicity 6)

Properties
As for the density of states at the Fermi level: 1.666 states/eV/atom. Its formation energy is 3.2 kcal/mol of atoms. Its theoretical density is 10.4 g cm⁻³.

=====

Pu3Co2Ge3: relaxed, PBE.

Lattice parameters (Å, degrees): 4.125 10.325 14.284 90.00 90.00 90.00
Space group Cmcm (No. 63)
Symmetry-distinct sites (fractional):
Pu (0.000, 0.065, 0.108) (multiplicity 8)
Pu (0.000, 0.353, 0.250) (multiplicity 4)
Co (0.000, 0.215, 0.609) (multiplicity 8)
Ge (0.000, 0.352, 0.036) (multiplicity 8)
Ge (0.000, 0.353, 0.750) (multiplicity 4)

Properties
As for the density of states at the Fermi level: 3.455 states/eV/atom. Its formation energy is -9.1 kcal/mol of atoms. For the energy above the most stable polymorph in this dataset, the calculation gives 0.000 eV/atom. Its theoretical density is 11.7 g cm⁻³.

=====

Pu2CoGe3: relaxed, PBE.

Lattice parameters (Å, degrees): 3.891 4.252 7.177 90.00 90.00 90.00
Space group Pmm2 (No. 25)
Symmetry-distinct sites (fractional):
Pu (0.000, 0.000, 0.000) (multiplicity 1)
Pu (0.000, 0.500, 0.477) (multiplicity 1)
Co (0.500, 0.000, 0.298) (multiplicity 1)
Ge (0.500, 0.000, 0.628) (multiplicity 1)
Ge (0.500, 0.500, 0.163) (multiplicity 1)
Ge (0.500, 0.500, 0.815) (multiplicity 1)

Properties
As for the density of states at the Fermi level: 3.511 states/eV/atom. Its formation energy is -8.4 kcal/mol of atoms. For the energy above the most stable polymorph in this dataset, the calculation gives 0.016 eV/atom. Its theoretical density is 10.7 g cm⁻³.

=====

PuCo2Ge: relaxed, PBE.

Lattice parameters (Å, degrees): 5.008 3.975 6.422 90.00 90.00 90.00
Space group Pmma (No. 51)
Symmetry-distinct sites (fractional):
Pu (0.250, 0.000, 0.199) (multiplicity 2)
Co (0.000, 0.500, 0.500) (multiplicity 2)
Co (0.250, 0.000, 0.622) (multiplicity 2)
Ge (0.250, 0.500, 0.832) (multiplicity 2)

Properties
As for the density of states at the Fermi level: 2.384 states/eV/atom. Its formation energy is -7.0 kcal/mol of atoms. Its theoretical density is 11.3 g cm⁻³.

=====

Pu2CoGe: relaxed, PBE.

Lattice parameters (Å, degrees): 3.529 3.529 4.875 90.00 90.00 90.00
Space group P4/mmm (No. 123)
Symmetry-distinct sites (fractional):
Pu (0.000, 0.500, 0.000) (multiplicity 2)
Co (0.000, 0.000, 0.500) (multiplicity 1)
Ge (0.500, 0.500, 0.500) (multiplicity 1)

Properties
As for the density of states at the Fermi level: 1.893 states/eV/atom. Its formation energy is 1.6 kcal/mol of atoms. Its theoretical density is 16.9 g cm⁻³.

=====

PuCoGe2: relaxed, PBE.

Lattice parameters (Å, degrees): 3.079 3.079 7.037 90.00 90.00 90.00
Space group P4/mmm (No. 123)
Symmetry-distinct sites (fractional):
Pu (0.000, 0.000, 0.000) (multiplicity 1)
Co (0.000, 0.000, 0.500) (multiplicity 1)
Ge (0.500, 0.500, 0.306) (multiplicity 2)

Properties
As for the density of states at the Fermi level: 1.195 states/eV/atom. Its formation energy is -5.5 kcal/mol of atoms. Its theoretical density is 11.2 g cm⁻³.

=====

Pu4Co3Ge16: relaxed, PBE.

Lattice parameters (Å, degrees): 6.055 6.055 11.176 90.00 90.00 90.00
Space group P4/mmm (No. 123)
Symmetry-distinct sites (fractional):
Pu (0.000, 0.500, 0.194) (multiplicity 4)
Co (0.000, 0.000, 0.000) (multiplicity 1)
Co (0.000, 0.500, 0.500) (multiplicity 2)
Ge (0.000, 0.000, 0.222) (multiplicity 2)
Ge (0.253, 0.253, 0.383) (multiplicity 8)
Ge (0.279, 0.279, 0.000) (multiplicity 4)
Ge (0.500, 0.500, 0.205) (multiplicity 2)

Properties
As for the density of states at the Fermi level: 1.663 states/eV/atom. Its formation energy is -6.0 kcal/mol of atoms. Its theoretical density is 9.4 g cm⁻³.

=====

Pu3Co8Ge: relaxed, PBE.

Lattice parameters (Å, degrees): 4.9627 4.9627 24.1130 90.00 90.00 120.00
Space group R3m (No. 160, hexagonal axes)
Symmetry-distinct sites (fractional):
Pu (0.0000, 0.0000, 0.0000) (multiplicity 3)
Pu (0.0000, 0.0000, 0.1267) (multiplicity 3)
Pu (0.0000, 0.0000, 0.6178) (multiplicity 3)
Co (0.0000, 0.0000, 0.3113) (multiplicity 3)
Co (0.0000, 0.0000, 0.8114) (multiplicity 3)
Co (0.0004, 0.5002, 0.5594) (multiplicity 9)
Co (0.0015, 0.5008, 0.0625) (multiplicity 9)
Ge (0.0000, 0.0000, 0.4918) (multiplicity 3)

Properties
As for the density of states at the Fermi level: 2.023 states/eV/atom. Its formation energy is -3.1 kcal/mol of atoms. Its theoretical density is 12.4 g cm⁻³.